Compound: GdGaNiRu
Source: Alexandria
Functional: PBE
Structure: optimized geometry

Cell: 4.5350 4.5350 4.5350 Å, 60.00 60.00 60.00°
With the nearest neighbours (Å) after each atom.
Element x y z (fractional)
Gd  0.0000  0.0000  0.0000  4 Ni 2.78, 4 Ru 2.78
Ga  0.5000  0.5000  0.5000  4 Ru 2.78, 4 Ni 2.78
Ni  0.7500  0.7500  0.7500  4 Gd 2.78, 4 Ga 2.78
Ru  0.2500  0.2500  0.2500  4 Gd 2.78, 4 Ga 2.78

Summary:
DFT formation energy in eV/atom: -0.3052
Electronic total energy in eV/atom: -8.346
D(E_F) in states/eV per cell: 1.59
Space group: F-43m, No. 216